Here is a relaxed structure of CsPa4O10 from the Alexandria database. Energies are from PBE-GGA.

a = 3.8496 Å, b = 3.8496 Å, c = 30.6570 Å
α = 90.00°, β = 90.00°, γ = 90.00°
Space group I4/mmm (No. 139)
Symmetry-distinct sites (fractional):
Cs 0.0000 0.0000 0.0000 x2
Pa 0.0000 0.0000 0.2038 x4
Pa 0.0000 0.0000 0.3906 x4
O 0.0000 0.5000 0.0775 x8
O 0.0000 0.5000 0.1634 x8
O 0.0000 0.5000 0.2500 x4

Values from the calculation:
Uncorrected formation energy = -3.397 eV/atom
Total moment = 1.10 μB/f.u.

Here is a relaxed structure of Cs3PaPb2O6 from the Alexandria database. Energies are from PBE-GGA.

a = 6.4596 Å, b = 6.4596 Å, c = 7.9738 Å
α = 90.00°, β = 90.00°, γ = 120.00°
Space group P-3m1 (No. 164)
Symmetry-distinct sites (fractional):
Cs 0.0000 0.0000 0.0000 x1
Cs 0.3333 0.6667 0.6632 x2
Pa 0.0000 0.0000 0.5000 x1
Pb 0.3333 0.6667 0.2039 x2
O 0.1608 0.3215 0.3408 x6

Values from the calculation:
Uncorrected formation energy = -2.027 eV/atom
Total moment = 0.00 μB/f.u.

Here is a relaxed structure of Cs2PaPb2O6 from the Alexandria database. Energies are from PBE-GGA.

a = 6.4537 Å, b = 6.4537 Å, c = 24.3023 Å
α = 90.00°, β = 90.00°, γ = 120.00°
Space group R-3m (No. 166, hexagonal axes)
Symmetry-distinct sites (fractional):
Cs 0.0000 0.0000 0.2283 x6
Pa 0.0000 0.0000 0.5000 x3
Pb 0.0000 0.0000 0.0741 x6
O 0.0091 0.5045 0.2161 x18

Values from the calculation:
Uncorrected formation energy = -1.945 eV/atom
Total moment = 0.00 μB/f.u.

Here is a relaxed structure of CsPaPbO4 from the Alexandria database. Energies are from PBE-GGA.

a = 7.2440 Å, b = 7.8938 Å, c = 10.6602 Å
α = 90.00°, β = 90.00°, γ = 90.00°
Space group Imma (No. 74)
Symmetry-distinct sites (fractional):
Cs 0.0000 0.2500 0.1322 x4
Pa 0.2500 0.2500 0.7500 x4
Pb 0.0000 0.0000 0.5000 x4
O 0.0000 0.0762 0.7444 x8
O 0.2250 0.2500 0.5540 x8

Values from the calculation:
Uncorrected formation energy = -2.437 eV/atom
Total moment = 0.00 μB/f.u.

Here is a relaxed structure of Cs2PaPbO6 from the Alexandria database. Energies are from PBE-GGA.

a = 8.8847 Å, b = 8.8847 Å, c = 8.8847 Å
α = 90.00°, β = 90.00°, γ = 90.00°
Space group Fm-3m (No. 225)
Symmetry-distinct sites (fractional):
Cs 0.2500 0.2500 0.2500 x8
Pa 0.0000 0.0000 0.0000 x4
Pb 0.0000 0.0000 0.5000 x4
O 0.0000 0.0000 0.2444 x24

Values from the calculation:
Uncorrected formation energy = -1.941 eV/atom
Total moment = 1.02 μB/f.u.

Here is a relaxed structure of CsPa2PbO7 from the Alexandria database. Energies are from PBE-GGA.

a = 4.3896 Å, b = 4.3896 Å, c = 10.7318 Å
α = 90.00°, β = 90.00°, γ = 90.00°
Space group P4/mmm (No. 123)
Symmetry-distinct sites (fractional):
Cs 0.0000 0.0000 0.0000 x1
Pa 0.5000 0.5000 0.2975 x2
Pb 0.0000 0.0000 0.5000 x1
O 0.0000 0.5000 0.3257 x4
O 0.5000 0.5000 0.1090 x2
O 0.5000 0.5000 0.5000 x1

Values from the calculation:
Uncorrected formation energy = -2.637 eV/atom
Total moment = 0.98 μB/f.u.

Here is a relaxed structure of CsPaPb2O6 from the Alexandria database. Energies are from PBE-GGA.

a = 10.5032 Å, b = 13.1170 Å, c = 7.7716 Å
α = 90.00°, β = 117.07°, γ = 90.00°
Space group C2/c (No. 15)
Symmetry-distinct sites (fractional):
Cs 0.0000 0.1073 0.2500 x4
Pa 0.0000 0.2173 0.7500 x4
Pb 0.1409 0.4306 0.1814 x8
O 0.0977 0.2768 0.0252 x8
O 0.1198 0.1104 0.6954 x8
O 0.1255 0.4562 0.4613 x8

Values from the calculation:
Uncorrected formation energy = -1.780 eV/atom
Total moment = 0.00 μB/f.u.

Here is a relaxed structure of Cs2Pa2PbO7 from the Alexandria database. Energies are from PBE-GGA.

a = 4.4577 Å, b = 4.4577 Å, c = 24.0132 Å
α = 90.00°, β = 90.00°, γ = 90.00°
Space group I4/mmm (No. 139)
Symmetry-distinct sites (fractional):
Cs 0.0000 0.0000 0.1930 x4
Pa 0.0000 0.0000 0.4096 x4
Pb 0.0000 0.0000 0.0000 x2
O 0.0000 0.0000 0.3249 x4
O 0.0000 0.0000 0.5000 x2
O 0.0000 0.5000 0.0803 x8

Values from the calculation:
Uncorrected formation energy = -2.701 eV/atom
Total moment = 0.00 μB/f.u.